No. 1
14
Lattice="-5.007 5.007 5.709 5.007 -5.007 5.709 5.007 5.007 -5.709" Properties=species:S:1:pos:R:3 comment="Cs5CuCl8 (GGA-PBE, optimized geometry)" raw_formation_energy_kj_per_mol_atoms=-142.4 n_ef_per_ev_cell=6.1 m_tot_mub_per_fu=0.38 final_energy_ev_per_atom=-3.1283 pbc="T T T"
Cs 0.000 0.000 0.000
Cs 6.375 2.191 -1.222
Cs 2.191 3.639 1.222
Cs -1.368 2.816 4.487
Cs 2.816 1.368 6.932
Cu 5.007 0.000 2.855
Cl 4.519 -2.117 2.557
Cl 3.057 1.144 -1.065
Cl 7.124 -0.488 3.152
Cl 2.890 0.488 3.152
Cl 3.863 -1.950 6.774
Cl 5.495 2.117 2.557
Cl 1.144 6.956 1.065
Cl 1.950 3.863 4.645

---

No. 2
8
Lattice="-3.205 3.205 5.770 3.205 -3.205 5.770 3.205 3.205 -5.770" Properties=species:S:1:pos:R:3 comment="Y2MnBr (GGA-PBE, optimized geometry)" e_above_lowest_polymorph_ev_per_atom=0.709 raw_formation_energy_kj_per_mol_atoms=28.1 n_ef_per_ev_cell=4.0 m_tot_mub_per_fu=0.00 final_energy_ev_per_atom=-5.6514 pbc="T T T"
Y 4.808 1.124 -1.442
Y 1.124 1.603 1.442
Y -1.603 2.081 4.327
Y 2.081 1.603 7.212
Mn 0.000 0.000 0.000
Mn 0.000 3.205 2.885
Br 3.205 0.000 2.885
Br 0.000 0.000 5.770